No. 1
# K2BaCr PBEsol relaxed
data_K2BaCr
_chemical_formula_sum 'K2 Ba1 Cr1'
_symmetry_space_group_name_H-M 'P 4 m m'
_symmetry_Int_Tables_number 99
_cell_length_a 4.202
_cell_length_b 4.202
_cell_length_c 11.300
_cell_angle_alpha 90.00
_cell_angle_beta 90.00
_cell_angle_gamma 90.00
loop_
_symmetry_equiv_pos_as_xyz
'x,y,z'
'-y,x,z'
'-x,-y,z'
'y,-x,z'
'-x,y,z'
'y,x,z'
'x,-y,z'
'-y,-x,z'
loop_
_atom_site_label
_atom_site_type_symbol
_atom_site_fract_x
_atom_site_fract_y
_atom_site_fract_z
K1 K 0.000 0.000 0.000
K2 K 0.500 0.500 0.323
Ba1 Ba 0.000 0.000 0.636
Cr1 Cr 0.500 0.500 0.800
# offset from the most stable computed form	0.000	eV per atom
# crystal system	tetragonal

No. 2
# CoTcAs2 PBEsol relaxed
data_CoTcAs2
_chemical_formula_sum 'Co3 Tc3 As6'
_symmetry_space_group_name_H-M 'R 3 m'
_symmetry_Int_Tables_number 160
_symmetry_space_group_name_Hall 'R 3 -2"'
_cell_length_a 2.8341
_cell_length_b 2.8341
_cell_length_c 28.0616
_cell_angle_alpha 90.00
_cell_angle_beta 90.00
_cell_angle_gamma 120.00
loop_
_atom_site_label
_atom_site_type_symbol
_atom_site_fract_x
_atom_site_fract_y
_atom_site_fract_z
Co1 Co 0.0000 0.0000 0.0000
Tc1 Tc 0.0000 0.0000 0.7395
As1 As 0.0000 0.0000 0.2711
As2 As 0.0000 0.0000 0.4742
# offset from the most stable computed form	0.117	eV per atom
# crystal system	trigonal

No. 3
# PtRh2W PBEsol relaxed
data_PtRh2W
_chemical_formula_sum 'Pt2 Rh4 W2'
_symmetry_space_group_name_H-M 'C 1 2/m 1'
_symmetry_Int_Tables_number 12
_cell_length_a 9.040
_cell_length_b 2.710
_cell_length_c 4.749
_cell_angle_alpha 90.00
_cell_angle_beta 99.94
_cell_angle_gamma 90.00
loop_
_symmetry_equiv_pos_as_xyz
'x,y,z'
'-x,-y,-z'
'-x,y,-z'
'x,-y,z'
'x+1/2,y+1/2,z'
'-x+1/2,-y+1/2,-z'
'-x+1/2,y+1/2,-z'
'x+1/2,-y+1/2,z'
loop_
_atom_site_label
_atom_site_type_symbol
_atom_site_fract_x
_atom_site_fract_y
_atom_site_fract_z
Pt1 Pt 0.000 0.000 0.000
Rh1 Rh 0.246 0.000 0.743
W1 W 0.000 0.500 0.500
# offset from the most stable computed form	0.086	eV per atom
# crystal system	monoclinic

No. 4
# HfAl2SiCl PBEsol relaxed
data_HfAl2SiCl
_chemical_formula_sum 'Hf1 Al2 Si1 Cl1'
_symmetry_space_group_name_H-M 'P 4/m m m'
_symmetry_Int_Tables_number 123
_symmetry_space_group_name_Hall '-P 4 2'
_cell_length_a 4.597
_cell_length_b 4.597
_cell_length_c 4.692
_cell_angle_alpha 90.00
_cell_angle_beta 90.00
_cell_angle_gamma 90.00
loop_
_atom_site_label
_atom_site_type_symbol
_atom_site_fract_x
_atom_site_fract_y
_atom_site_fract_z
Hf1 Hf 0.000 0.000 0.000
Al1 Al 0.000 0.500 0.500
Si1 Si 0.500 0.500 0.000
Cl1 Cl 0.000 0.000 0.500
# energy relative to the elements, uncorrected	702	meV/atom
# crystal system	tetragonal

no.,VASP energy (Ry per atom)
1,-0.222
2,-0.528
3,-0.693
4,-0.337